# 1
# PBE In2Ag2Pd3, relaxed
data_In2Ag2Pd3
_chemical_formula_sum 'In2 Ag2 Pd3'
_cell_length_a 4.2113
_cell_length_b 4.8866
_cell_length_c 6.8086
_cell_angle_alpha 99.47
_cell_angle_beta 90.39
_cell_angle_gamma 115.27
_space_group_name_H-M_alt 'P -1'
_space_group_IT_number 2
loop_
_space_group_symop_operation_xyz
'x,y,z'
'-x,-y,-z'
loop_
_atom_site_label
_atom_site_fract_x
_atom_site_fract_y
_atom_site_fract_z
In1 0.0767 0.1553 0.2536
Ag1 0.3582 0.7180 0.0793
Pd1 0.2203 0.4401 0.6558
Pd2 0.5000 0.0000 0.5000
# - Size of the total moment: 0.00 Bohr magnetons per cell
# - Density of states at the Fermi level: 0.385 states/eV per atom
# - VASP energy: -4.122 eV/atom

# 2
# PBE In4AgPd5, relaxed
data_In4AgPd5
_chemical_formula_sum 'In4 Ag1 Pd5'
_cell_length_a 3.3306
_cell_length_b 3.3306
_cell_length_c 15.9189
_cell_angle_alpha 90.00
_cell_angle_beta 90.00
_cell_angle_gamma 90.00
_space_group_name_H-M_alt 'P 4/m m m'
_space_group_IT_number 123
_space_group_name_Hall '-P 4 2'
loop_
_atom_site_label
_atom_site_fract_x
_atom_site_fract_y
_atom_site_fract_z
In1 0.0000 0.0000 0.1015
In2 0.0000 0.0000 0.3063
Ag1 0.0000 0.0000 0.5000
Pd1 0.5000 0.5000 0.0000
Pd2 0.5000 0.5000 0.2032
Pd3 0.5000 0.5000 0.3988
# - Size of the total moment: 0.00 Bohr magnetons per cell
# - Density of states at the Fermi level: 0.264 states/eV per atom
# - VASP energy: -4.410 eV/atom

# 3
# PBE In2Ag2Pd, relaxed
data_In2Ag2Pd
_chemical_formula_sum 'In4 Ag4 Pd2'
_cell_length_a 4.0948
_cell_length_b 4.0948
_cell_length_c 13.1070
_cell_angle_alpha 90.00
_cell_angle_beta 90.00
_cell_angle_gamma 90.00
_space_group_name_H-M_alt 'I 4/m m m'
_space_group_IT_number 139
_space_group_name_Hall '-I 4 2'
loop_
_atom_site_label
_atom_site_fract_x
_atom_site_fract_y
_atom_site_fract_z
In1 0.0000 0.5000 0.2500
Ag1 0.0000 0.0000 0.0986
Pd1 0.0000 0.0000 0.5000
# - Size of the total moment: 0.00 Bohr magnetons per cell
# - Energy relative to the lowest polymorph listed for this composition: 0.288 eV/atom
# - Density of states at the Fermi level: 0.425 states/eV per atom
# - VASP energy: -2.991 eV/atom

# 4
# PBE InAg3Pd6, relaxed
data_InAg3Pd6
_chemical_formula_sum 'In2 Ag6 Pd12'
_cell_length_a 7.1215
_cell_length_b 6.9179
_cell_length_c 10.0780
_cell_angle_alpha 90.00
_cell_angle_beta 134.74
_cell_angle_gamma 90.00
_space_group_name_H-M_alt 'P 1 21/c 1'
_space_group_IT_number 14
loop_
_space_group_symop_operation_xyz
'x,y,z'
'-x,-y,-z'
'-x,y+1/2,-z+1/2'
'x,-y+1/2,z+1/2'
loop_
_atom_site_label
_atom_site_fract_x
_atom_site_fract_y
_atom_site_fract_z
In1 0.0000 0.0000 0.0000
Ag1 0.1797 0.1912 0.7568
Ag2 0.5000 0.0000 0.5000
Pd1 0.0853 0.1366 0.4484
Pd2 0.2981 0.6342 0.4483
Pd3 0.4588 0.6363 0.2544
# - Size of the total moment: 0.00 Bohr magnetons per cell
# - Energy relative to the lowest polymorph listed for this composition: 0.171 eV/atom
# - Density of states at the Fermi level: 0.523 states/eV per atom
# - VASP energy: -4.246 eV/atom

# 5
# PBE In4AgPd15, relaxed
data_In4AgPd15
_chemical_formula_sum 'In4 Ag1 Pd15'
_cell_length_a 4.0491
_cell_length_b 4.0491
_cell_length_c 19.9609
_cell_angle_alpha 90.00
_cell_angle_beta 90.00
_cell_angle_gamma 90.00
_space_group_name_H-M_alt 'P 4/m m m'
_space_group_IT_number 123
_space_group_name_Hall '-P 4 2'
loop_
_atom_site_label
_atom_site_fract_x
_atom_site_fract_y
_atom_site_fract_z
In1 0.0000 0.0000 0.1004
In2 0.0000 0.0000 0.3016
Ag1 0.0000 0.0000 0.5000
Pd1 0.0000 0.5000 0.0000
Pd2 0.0000 0.5000 0.2018
Pd3 0.0000 0.5000 0.4012
Pd4 0.5000 0.5000 0.1013
Pd5 0.5000 0.5000 0.3023
Pd6 0.5000 0.5000 0.5000
# - Size of the total moment: 0.00 Bohr magnetons per cell
# - Density of states at the Fermi level: 1.005 states/eV per atom
# - VASP energy: -4.926 eV/atom

# 6
# PBE InAg3Pd3, relaxed
data_InAg3Pd3
_chemical_formula_sum 'In4 Ag12 Pd12'
_cell_length_a 9.1050
_cell_length_b 9.2889
_cell_length_c 6.0695
_cell_angle_alpha 90.00
_cell_angle_beta 90.00
_cell_angle_gamma 90.00
_space_group_name_H-M_alt 'C m m m'
_space_group_IT_number 65
_space_group_name_Hall '-C 2 2'
loop_
_atom_site_label
_atom_site_fract_x
_atom_site_fract_y
_atom_site_fract_z
In1 0.0000 0.2500 0.0000
Ag1 0.0000 0.2290 0.5000
Ag2 0.2242 0.0000 0.0000
Ag3 0.2281 0.0000 0.5000
Pd1 0.0000 0.5000 0.2561
Pd2 0.2500 0.2500 0.2465
# - Size of the total moment: 0.00 Bohr magnetons per cell
# - Density of states at the Fermi level: 0.277 states/eV per atom
# - VASP energy: -3.975 eV/atom